Here is crystalline KVS2O8 at its relaxed geometry from Alexandria. Energies are from PBE+U.

**Spin magnetization**: 0.17 μB/atom
**Crystal system**: trigonal
**E_tot**: -6.42 eV per atom
**DOS at the Fermi energy**: 0.000 states/eV per cell

Structure (POSCAR):
```
KVS2O8
1.0
4.889 0.000 0.000
2.444 4.234 0.000
2.444 1.411 8.208
O V S K
8 1 2 1
direct
0.250 0.912 0.352
0.296 0.296 0.112
0.088 0.514 0.648
0.750 0.088 0.648
0.704 0.704 0.888
0.514 0.750 0.648
0.912 0.486 0.352
0.486 0.250 0.352
0.500 0.500 0.500
0.763 0.763 0.710
0.237 0.237 0.290
0.000 0.000 0.000
```